Record 1
An optimized crystal structure of CsBrF2. Source: Alexandria, functional GGA-PBEsol.

Unit cell a=5.0317 b=5.0317 c=8.4187 alpha=107.39 beta=107.39 gamma=90.00
With the nearest neighbours (Å) after each atom.
Positions (direct):
1 Br 0.5000 0.5000 0.0000  4 F 2.34
2 Br 0.7500 0.2500 0.5000  4 F 2.34
3 Cs 0.0000 0.0000 0.0000  4 F 3.04
4 F 0.1250 0.2720 0.7500  2 Br 2.34
5 Cs 0.2500 0.7500 0.5000  4 F 3.04
6 F 0.6250 0.4780 0.7500  2 Br 2.34
7 F 0.5220 0.8750 0.2500  2 Br 2.34
8 F 0.7280 0.3750 0.2500  2 Br 2.34

Calculated values
* E above lowest polymorph: 1.79 eV per formula unit
* space-group type: No. 122
* E_form (uncorrected): -1.35 eV per atom
* calculated density: 4.31 g/cm3
* total moment: 0.000 μB/f.u.

Record 2
An optimized crystal structure of Cs2BrF. Source: Alexandria, functional GGA-PBEsol.

Unit cell a=7.3725 b=7.3725 c=7.3725 alpha=75.10 beta=68.19 gamma=111.81
With the nearest neighbours (Å) after each atom.
Positions (direct):
1 F 0.5000 0.7500 0.7500  4 Cs 2.79
2 Cs 0.4306 0.8056 0.1250  2 F 2.79
3 Cs 0.9306 0.1250 0.4444  2 F 2.79
4 Cs 0.0694 0.6250 0.8056  2 F 2.79
5 Br 0.5000 0.2500 0.2500  4 Cs 3.54
6 F 0.0000 0.5000 0.5000  4 Cs 2.79
7 Br 0.0000 0.0000 0.0000  4 Cs 3.54
8 Cs 0.5694 0.4444 0.6250  2 F 2.79

Calculated values
* space-group type: No. 122
* E_form (uncorrected): -2.17 eV per atom
* calculated density: 3.95 g/cm3
* total moment: 0.001 μB/f.u.

Record 3
An optimized crystal structure of CsBr3F. Source: Alexandria, functional GGA-PBEsol.

Unit cell a=5.1121 b=5.1121 c=5.1121 alpha=90.00 beta=90.00 gamma=90.00
With the nearest neighbours (Å) after each atom.
Positions (direct):
1 Cs 0.5000 0.5000 0.5000  12 Br 3.61
2 Br 0.0000 0.5000 0.0000  2 F 2.56
3 Br 0.5000 0.0000 0.0000  2 F 2.56
4 Br 0.0000 0.0000 0.5000  2 F 2.56
5 F 0.0000 0.0000 0.0000  6 Br 2.56

Calculated values
* space-group type: No. 221
* E_form (uncorrected): -0.59 eV per atom
* calculated density: 4.87 g/cm3
* total moment: 0.002 μB/f.u.

Record 4
An optimized crystal structure of CsBr2F. Source: Alexandria, functional GGA-PBEsol.

Unit cell a=4.2407 b=4.2407 c=7.2106 alpha=90.00 beta=90.00 gamma=90.00
With the nearest neighbours (Å) after each atom.
Positions (direct):
1 F 0.5000 0.5000 0.0000  2 Br 2.42
2 Cs 0.0000 0.0000 0.0000  4 F 3.00
3 Br 0.5000 0.5000 0.3353  1 Br 2.38, 1 F 2.42
4 Br 0.5000 0.5000 0.6647  1 Br 2.38, 1 F 2.42

Calculated values
* space-group type: No. 123
* E_form (uncorrected): -1.38 eV per atom
* calculated density: 3.99 g/cm3
* total moment: 0.000 μB/f.u.

Record 5
An optimized crystal structure of CsBrF2. Source: Alexandria, functional GGA-PBEsol.

Unit cell a=4.8529 b=4.8529 c=6.5941 alpha=68.41 beta=68.41 gamma=60.00
With the nearest neighbours (Å) after each atom.
Positions (direct):
1 F 0.8897 0.8897 0.3310  1 Br 1.98
2 Br 0.0000 0.0000 0.0000  2 F 1.98
3 Cs 0.5000 0.5000 0.5000  6 F 2.98
4 F 0.1103 0.1103 0.6690  1 Br 1.98

Calculated values
* E above lowest polymorph: 0.00 eV per formula unit
* space-group type: No. 166
* E_form (uncorrected): -1.80 eV per atom
* calculated density: 3.42 g/cm3
* total moment: 0.001 μB/f.u.

Record 6
An optimized crystal structure of CsBrF. Source: Alexandria, functional GGA-PBEsol.

Unit cell a=4.2724 b=4.2724 c=10.2537 alpha=102.02 beta=102.02 gamma=90.00
With the nearest neighbours (Å) after each atom.
Positions (direct):
1 F 0.1845 0.1845 0.3690  1 Br 2.42
2 F 0.8155 0.8155 0.6310  1 Br 2.42
3 Cs 0.6679 0.6679 0.3358  5 F 2.89-3.04
4 Cs 0.3321 0.3321 0.6642  5 F 2.89-3.04
5 Br 0.0612 0.0612 0.1224  1 Br 2.40, 1 F 2.42
6 Br 0.9388 0.9388 0.8776  1 Br 2.40, 1 F 2.42

Calculated values
* space-group type: No. 139
* E_form (uncorrected): -1.83 eV per atom
* calculated density: 4.30 g/cm3
* total moment: 0.000 μB/f.u.